{
  "formula": "LaSb3",
  "functional": "meta-GGA SCAN",
  "state": "PBEsol geometry",
  "n_ef_per_ev_cell": 2.1,
  "total_energy_ev_per_cell": -157.09,
  "vol_a3_per_atom": 27.8,
  "crystal_system": "tetragonal",
  "formation_energy_uncorrected_ev_per_fu": -2.21,
  "density_g_cm3": 7.52,
  "lattice": [[4.207, 0.000, 0.000], [0.000, 4.207, 0.000], [0.000, 0.000, 6.289]],
  "species": ["La", "Sb", "Sb", "Sb"],
  "frac_coords": [[0.000, 0.000, 0.000], [0.000, 0.000, 0.500], [0.500, 0.500, 0.743], [0.500, 0.500, 0.257]]
}